# DyHo2MgHg4

An optimized crystal structure of DyHo2MgHg4 (PBE, the Alexandria database).

POSCAR file:
```
DyHo2MgHg4
1.0
2.571 1.484 8.530
-2.571 1.484 8.530
0.000 -2.969 8.530
Dy Ho Mg Hg
1 2 1 4
direct
0.000 0.000 0.000 Dy
0.245 0.245 0.245 Ho
0.755 0.755 0.755 Ho
0.500 0.500 0.500 Mg
0.125 0.125 0.125 Hg
0.374 0.374 0.374 Hg
0.626 0.626 0.626 Hg
0.875 0.875 0.875 Hg
```

Properties
ΔE_f: -0.463 eV per atom

---

# TaReI2N

An optimized crystal structure of TaReI2N (PBE, the Alexandria database).

POSCAR file:
```
TaReI2N
1.0
5.537 0.000 0.000
0.000 5.537 0.000
0.000 0.000 3.733
Ta Re I N
1 1 2 1
direct
0.000 0.000 0.000 Ta
0.500 0.500 0.500 Re
0.000 0.500 0.500 I
0.500 0.000 0.500 I
0.500 0.500 0.000 N
```

Properties
formation energy without anion corrections: 1.169 eV/atom
ΔE to the lowest computed polymorph: 0.00 eV per formula unit

---

# TmBeNiN

An optimized crystal structure of TmBeNiN (PBE, the Alexandria database).

POSCAR file:
```
TmBeNiN
1.0
3.449 0.000 0.000
0.000 3.449 0.000
0.000 0.000 8.050
Tm Be Ni N
2 2 2 2
direct
0.250 0.250 0.152 Tm
0.750 0.750 0.848 Tm
0.250 0.250 0.667 Be
0.750 0.750 0.333 Be
0.250 0.750 0.500 Ni
0.750 0.250 0.500 Ni
0.250 0.250 0.868 N
0.750 0.750 0.132 N
```

Properties
formation energy without anion corrections: -1.031 eV/atom

---

# ZnSi2Se

An optimized crystal structure of ZnSi2Se (PBE, the Alexandria database).

POSCAR file:
```
ZnSi2Se
1.0
6.556 0.000 0.000
0.000 6.556 0.000
0.000 0.000 6.556
Zn Si Se
4 8 4
direct
0.000 0.000 0.000 Zn
0.000 0.500 0.500 Zn
0.500 0.000 0.500 Zn
0.500 0.500 0.000 Zn
0.250 0.250 0.250 Si
0.250 0.250 0.750 Si
0.250 0.750 0.250 Si
0.250 0.750 0.750 Si
0.750 0.250 0.250 Si
0.750 0.250 0.750 Si
0.750 0.750 0.250 Si
0.750 0.750 0.750 Si
0.000 0.000 0.500 Se
0.000 0.500 0.000 Se
0.500 0.000 0.000 Se
0.500 0.500 0.500 Se
```

Properties
formation energy without anion corrections: 0.577 eV/atom
ΔE to the lowest computed polymorph: 2.26 eV per formula unit

---

Looking at M_tot for the records above, in order, we have 0.0 2.9 0.0 0.0 μB/f.u..
Looking at raw total energy for the records above, in order, we have -2.533 -5.976 -6.607 -3.324 eV/atom.